VASP calculation (GGA-PBE) on crystalline Na2Ti2VS6 at its relaxed geometry.

Calculated values
VASP energy, eV/atom: -6.02
ΔE_f (raw), eV/atom: -1.263
Crystal system: monoclinic
Spin magnetization, μB/f.u.: 2.5

Unit cell a=6.0040 b=6.0040 c=7.1606 alpha=98.07 beta=98.07 gamma=119.98
With the nearest neighbours (Å) after each atom.
Sites, in units of the cell vectors:
1 Na 0.1669 0.8331 0.0000  6 S 2.85
2 Na 0.8331 0.1669 0.0000  6 S 2.85
3 Ti 0.3331 0.6669 0.5000  6 S 2.45-2.46
4 Ti 0.6669 0.3331 0.5000  6 S 2.45-2.46
5 V 0.0000 0.0000 0.5000  6 S 2.44-2.45
6 S 0.0702 0.4016 0.7059  1 V 2.44, 2 Ti 2.45-2.46
7 S 0.2650 0.2650 0.2941  2 Ti 2.45, 1 V 2.45
8 S 0.4016 0.0702 0.7059  1 V 2.44, 2 Ti 2.45-2.46
9 S 0.5984 0.9298 0.2941  1 V 2.44, 2 Ti 2.45-2.46
10 S 0.7350 0.7350 0.7059  2 Ti 2.45, 1 V 2.45
11 S 0.9298 0.5984 0.2941  1 V 2.44, 2 Ti 2.45-2.46